Arrangement 1

AcAgPd: relaxed, PBE.

Geometry as extended XYZ:
```
6
Lattice="4.636 0.000 0.000 0.000 3.938 0.000 0.000 0.000 8.465" Properties=species:S:1:pos:R:3 pbc="T T T"
Ac 1.159 0.000 1.848
Ac 3.477 0.000 6.617
Ag 1.159 1.969 4.958
Ag 3.477 1.969 3.507
Pd 1.159 1.969 7.705
Pd 3.477 1.969 0.760
```

Results
- calculated volume (A^3/atom) = 25.762



Arrangement 2

AcAgPd: relaxed, PBE.

Geometry as extended XYZ:
```
3
Lattice="0.000 3.467 3.467 3.467 0.000 3.467 3.467 3.467 0.000" Properties=species:S:1:pos:R:3 pbc="T T T"
Ac 0.000 0.000 0.000
Ag 3.467 3.467 3.467
Pd 1.734 1.734 1.734
```

Results
- calculated volume (A^3/atom) = 27.792



The structure with the greatest stability is arrangement 1.



Arrangement 1

AcScAg: relaxed, PBE.

Geometry as extended XYZ:
```
3
Lattice="0.000 3.616 3.616 3.616 0.000 3.616 3.616 3.616 0.000" Properties=species:S:1:pos:R:3 pbc="T T T"
Ac 0.000 0.000 0.000
Sc 1.808 1.808 1.808
Ag 5.423 5.423 5.423
```

Results
- calculated volume (A^3/atom) = 31.508



Arrangement 2

AcScAg: relaxed, PBE.

Geometry as extended XYZ:
```
3
Lattice="0.000 3.633 3.633 3.633 0.000 3.633 3.633 3.633 0.000" Properties=species:S:1:pos:R:3 pbc="T T T"
Ac 0.000 0.000 0.000
Sc 3.633 3.633 3.633
Ag 1.816 1.816 1.816
```

Results
- calculated volume (A^3/atom) = 31.967



The structure with the greatest stability is arrangement 2.



Arrangement 1

AcTaAg: relaxed, PBE.

Geometry as extended XYZ:
```
3
Lattice="0.000 3.578 3.578 3.578 0.000 3.578 3.578 3.578 0.000" Properties=species:S:1:pos:R:3 pbc="T T T"
Ac 0.000 0.000 0.000
Ta 1.789 1.789 1.789
Ag 5.367 5.367 5.367
```

Results
- calculated volume (A^3/atom) = 30.545



Arrangement 2

AcTaAg: relaxed, PBE.

Geometry as extended XYZ:
```
3
Lattice="0.000 3.542 3.542 3.542 0.000 3.542 3.542 3.542 0.000" Properties=species:S:1:pos:R:3 pbc="T T T"
Ac 0.000 0.000 0.000
Ta 3.542 3.542 3.542
Ag 1.771 1.771 1.771
```

Results
- calculated volume (A^3/atom) = 29.628



The structure with the greatest stability is arrangement 2.



Arrangement 1

AcTbAg: relaxed, PBE.

Geometry as extended XYZ:
```
3
Lattice="0.000 3.724 3.724 3.724 0.000 3.724 3.724 3.724 0.000" Properties=species:S:1:pos:R:3 pbc="T T T"
Ac 0.000 0.000 0.000
Tb 3.724 3.724 3.724
Ag 1.862 1.862 1.862
```

Results
- calculated volume (A^3/atom) = 34.429



Arrangement 2

AcTbAg: relaxed, PBE.

Geometry as extended XYZ:
```
3
Lattice="0.000 3.690 3.690 3.690 0.000 3.690 3.690 3.690 0.000" Properties=species:S:1:pos:R:3 pbc="T T T"
Ac 0.000 0.000 0.000
Tb 1.845 1.845 1.845
Ag 5.535 5.535 5.535
```

Results
- calculated volume (A^3/atom) = 33.489



The structure with the greatest stability is arrangement 1.